Here is a relaxed KBeIr2 crystal from Alexandria. Energies are from PBE.

Cell lengths 5.5226, 5.5226, 2.7071 Å; angles 103.22, 103.22, 119.07 degrees
With the nearest neighbours (Å) after each atom.
Atoms (fractional coordinates):
K 0.0000 0.0000 0.0000  2 K 2.71, 4 Ir 2.78, 4 Be 2.80-2.89
Be 0.5000 0.5000 0.0000  2 Be 2.71, 4 Ir 2.78, 4 K 2.80-2.89
Ir 0.0000 0.5000 0.5000  6 Ir 2.71-2.89, 2 K 2.78, 2 Be 2.78
Ir 0.5000 0.0000 0.5000  6 Ir 2.71-2.89, 2 K 2.78, 2 Be 2.78

Properties
For the density of states at the Fermi level, the calculation gives 4.02 states/eV/cell. The calculation puts the uncorrected energy at -4.6982 eV per atom. Its energy relative to the elements is 0.938 eV per atom. The density is 11.15 g/cm3.

***

Here is a relaxed Cu3TeBr9 crystal from Alexandria. Energies are from PBE.

Cell lengths 10.6881, 10.6881, 13.5241 Å; angles 122.95, 122.95, 47.57 degrees
With the nearest neighbours (Å) after each atom.
Atoms (fractional coordinates):
Cu 0.0640 0.9360 0.5000  4 Br 2.36-2.49
Cu 0.2808 0.5232 0.6191  4 Br 2.34-2.58
Cu 0.5217 0.7176 0.4367  4 Br 2.37-2.46
Cu 0.5232 0.2808 0.1191  4 Br 2.34-2.58
Cu 0.7176 0.5217 0.9367  4 Br 2.37-2.46
Cu 0.9360 0.0640 0.0000  4 Br 2.36-2.49
Te 0.0260 0.4892 0.7672  6 Br 2.72-2.82
Te 0.4892 0.0260 0.2672  6 Br 2.72-2.82
Br 0.0455 0.8089 0.5858  2 Cu 2.36-2.40
Br 0.1153 0.1493 0.7010  1 Cu 2.49, 1 Te 2.76
Br 0.1493 0.1153 0.2010  1 Cu 2.49, 1 Te 2.76
Br 0.1667 0.3701 0.5862  1 Cu 2.38
Br 0.2095 0.9035 0.3967  2 Cu 2.37
Br 0.3403 0.4234 0.9437  1 Cu 2.58, 1 Te 2.72
Br 0.3701 0.1667 0.0862  1 Cu 2.38
Br 0.4234 0.3403 0.4437  1 Cu 2.58, 1 Te 2.72
Br 0.4560 0.6388 0.7755  2 Cu 2.34-2.40
Br 0.5847 0.6855 0.1004  1 Cu 2.41
Br 0.6039 0.8934 0.4489  1 Cu 2.46
Br 0.6388 0.4560 0.2755  2 Cu 2.34-2.40
Br 0.6855 0.5847 0.6004  1 Cu 2.41
Br 0.8089 0.0455 0.0858  2 Cu 2.36-2.40
Br 0.8244 0.9363 0.3117  1 Cu 2.44
Br 0.8934 0.6039 0.9489  1 Cu 2.46
Br 0.9035 0.2095 0.8967  2 Cu 2.37
Br 0.9363 0.8244 0.8117  1 Cu 2.44

Properties
For the density of states at the Fermi level, the calculation gives 18.45 states/eV/cell. The calculation puts the uncorrected energy at -2.6079 eV per atom. The raw formation energy is -6.06 kcal/mol of atoms. The density is 3.76 g/cm3.

***

Question: The lowest uncorrected energy belongs to which entry?
Answer: KBeIr2

***

Question: Which value of uncorrected energy does entry 2 give?
Answer: -2.6079 eV per atom

***

Question: Which formula does entry 1 have?
Answer: KBeIr2